--- P ---
A plane-wave DFT calculation with GGA-PBE was carried out for Ca3NbGe after structural relaxation.

- Volume: 35.9 Å³ per atom
- M_tot: 4.97 μB/f.u.
- Crystal system: cubic
- D(E_F): 0.482 states/eV per atom

abc: 5.6397 5.6397 5.6397
angles: 90.00 90.00 90.00
Positions (direct):
Ca1 0.5000 0.0000 0.0000
Ca2 0.0000 0.5000 0.0000
Ca3 0.0000 0.0000 0.5000
Ge1 0.0000 0.0000 0.0000
Nb1 0.5000 0.5000 0.5000

---

--- Q ---
A plane-wave DFT calculation with GGA-PBE was carried out for Ca3NbGe after structural relaxation.

- Volume: 33.1 Å³ per atom
- M_tot: 0.00 μB/f.u.
- Crystal system: cubic
- D(E_F): 1.330 states/eV per atom

abc: 5.4908 5.4908 5.4908
angles: 90.00 90.00 90.00
Positions (direct):
Ca1 0.0000 0.0000 0.5000
Ca2 0.5000 0.0000 0.0000
Ca3 0.0000 0.5000 0.0000
Ge1 0.5000 0.5000 0.5000
Nb1 0.0000 0.0000 0.0000

---

Which one sits at the bottom of the stability order? Q does.

---

--- P ---
A plane-wave DFT calculation with GGA-PBE was carried out for CaNdGe4 after structural relaxation.

- Volume: 22.2 Å³ per atom
- M_tot: 0.00 μB/f.u.
- Crystal system: cubic
- D(E_F): 1.056 states/eV per atom

abc: 5.7299 5.7299 5.7299
angles: 60.00 60.00 60.00
Positions (direct):
Ge1 0.6250 0.6250 0.6250
Ge2 0.6250 0.1250 0.6250
Ge3 0.1250 0.6250 0.6250
Ge4 0.6250 0.6250 0.1250
Nd1 0.2500 0.2500 0.2500
Ca1 0.0000 0.0000 0.0000

---

--- Q ---
A plane-wave DFT calculation with GGA-PBE was carried out for CaNdGe4 after structural relaxation.

- Volume: 24.3 Å³ per atom
- M_tot: 0.00 μB/f.u.
- Crystal system: orthorhombic
- D(E_F): 0.548 states/eV per atom

abc: 4.2509 8.9525 15.3458
angles: 90.00 90.00 90.00
Positions (direct):
Ge1 0.5000 0.8844 0.4265
Ge2 0.5000 0.4250 0.7798
Ge3 0.5000 0.1156 0.5735
Ge4 0.5000 0.6156 0.9265
Ge5 0.5000 0.3706 0.4729
Ge6 0.5000 0.1294 0.9729
Ge7 0.5000 0.3844 0.0735
Ge8 0.5000 0.8706 0.0271
Ge9 0.5000 0.6294 0.5271
Ge10 0.5000 0.1526 0.8094
Ge11 0.5000 0.3474 0.3094
Ge12 0.5000 0.8474 0.1906
Ge13 0.5000 0.5750 0.2202
Ge14 0.5000 0.6526 0.6906
Ge15 0.5000 0.0750 0.2798
Ge16 0.5000 0.9250 0.7202
Ca1 0.0000 0.1389 0.4130
Ca2 0.0000 0.3611 0.9130
Ca3 0.0000 0.8611 0.5870
Ca4 0.0000 0.6389 0.0870
Nd1 0.0000 0.1216 0.1288
Nd2 0.0000 0.8784 0.8712
Nd3 0.0000 0.3784 0.6288
Nd4 0.0000 0.6216 0.3712

---

Which one sits at the bottom of the stability order? P does.